Entry 1:
The following is a GGA-PBE calculation of a relaxed structure of Sm2ZrTl3Se6, from Alexandria.

Unit cell a=7.146 b=7.146 c=8.201 alpha=98.36 beta=98.36 gamma=119.96
Fractional coordinates of all 12 atoms:
Sm 0.334 0.666 0.000
Sm 0.666 0.334 0.000
Zr 0.000 0.000 0.000
Tl 0.172 0.828 0.500
Tl 0.828 0.172 0.500
Tl 0.500 0.500 0.500
Se 0.932 0.617 0.794
Se 0.756 0.756 0.211
Se 0.068 0.383 0.206
Se 0.617 0.932 0.794
Se 0.244 0.244 0.789
Se 0.383 0.068 0.206

Computed properties:
Fermi-level density of states: 0.446 states/eV per atom

Entry 2:
The following is a GGA-PBE calculation of a relaxed structure of Sm3ZrTl3Se8, from Alexandria.

Unit cell a=8.348 b=8.346 c=9.208 alpha=116.96 beta=90.00 gamma=120.01
Fractional coordinates of all 15 atoms:
Sm 0.500 0.000 0.500
Sm 0.500 0.500 0.500
Sm 0.000 0.500 0.500
Zr 0.000 0.000 0.500
Tl 0.000 0.000 0.000
Tl 0.000 0.500 0.000
Tl 0.500 0.500 0.000
Se 0.263 0.527 0.290
Se 0.737 0.473 0.710
Se 0.777 0.553 0.300
Se 0.223 0.447 0.700
Se 0.777 0.023 0.300
Se 0.223 0.977 0.700
Se 0.246 0.023 0.300
Se 0.754 0.977 0.700

Entry 3:
The following is a GGA-PBE calculation of a relaxed structure of Sm2ZrTl2Se6, from Alexandria.

Unit cell a=7.140 b=7.140 c=8.185 alpha=98.67 beta=98.67 gamma=119.67
Fractional coordinates of all 11 atoms:
Sm 0.333 0.667 0.500
Sm 0.667 0.333 0.500
Zr 0.000 0.000 0.500
Tl 0.830 0.170 0.000
Tl 0.170 0.830 0.000
Se 0.759 0.759 0.704
Se 0.071 0.383 0.703
Se 0.241 0.241 0.296
Se 0.383 0.071 0.703
Se 0.929 0.617 0.297
Se 0.617 0.929 0.297

Entry 4:
The following is a GGA-PBE calculation of a relaxed structure of Sm3ZrTl4Se8, from Alexandria.

Unit cell a=8.333 b=9.185 c=8.332 alpha=116.97 beta=120.00 gamma=90.00
Last column: magnetic moment on the atom in μB.
Fractional coordinates of all 16 atoms:
Sm 0.500 0.500 0.000  0.02
Sm 0.500 0.500 0.500  0.02
Sm 0.000 0.500 0.500  0.02
Zr 0.000 0.500 0.000  0.18
Tl 0.500 0.000 0.000  0.00
Tl 0.500 0.000 0.500  0.00
Tl 0.000 0.000 0.000  0.00
Tl 0.000 0.000 0.500  0.00
Se 0.227 0.706 0.980  0.00
Se 0.227 0.706 0.453  0.00
Se 0.262 0.287 0.524  0.00
Se 0.753 0.706 0.980  0.00
Se 0.247 0.294 0.020  0.00
Se 0.738 0.713 0.476  0.00
Se 0.773 0.294 0.547  0.00
Se 0.773 0.294 0.020  0.00

Computed properties:
Fermi-level density of states: 0.320 states/eV per atom

| no. | E_form (uncorrected) (eV per atom) |
| --- | --- |
| 1 | -1.22 |
| 2 | -1.37 |
| 3 | -1.36 |
| 4 | -1.26 |